Entry from Alexandria via LeMat-Bulk: a geometry-optimized LiNi2Hg2 structure (PBE).

Cell lengths 5.1359, 5.1359, 5.1359 Å; angles 122.46, 122.46, 85.80 degrees
Atoms (fractional coordinates):
Li1 0.0000 0.0000 0.0000
Ni1 0.3501 0.3501 0.0000
Ni2 0.6499 0.6499 0.0000
Hg1 0.2500 0.7500 0.5000
Hg2 0.7500 0.2500 0.5000

## Properties
- Energy of formation: 216 meV/atom
- Size of the total moment: 0.000 μB per atom
- DOS at the Fermi energy: 3.2 states/eV per cell
- E above lowest polymorph: 174 meV per atom